Record 1
Density functional theory data (PBE-GGA) for a relaxed structure of NaGaPC. Values from VASP.

Structure (Quantum ESPRESSO input):
```
&SYSTEM
  ibrav = 0, nat = 8, ntyp = 4
/
ATOMIC_SPECIES
P 30.97 P.upf
C 12.01 C.upf
Ga 69.72 Ga.upf
Na 22.99 Na.upf
CELL_PARAMETERS angstrom
-0.671 -2.715 1.990
2.530 0.387 1.381
-6.618 8.752 9.669
ATOMIC_POSITIONS crystal
P 0.569 0.000 0.945
P 0.569 0.500 0.445
C 0.568 0.000 0.510
C 0.568 0.500 0.010
Ga 0.565 0.000 0.646
Ga 0.565 0.500 0.146
Na 0.067 0.000 0.303
Na 0.067 0.500 0.803
```

- space group = Cm, No. 8
- relative energy among the computed polymorphs (meV per atom) = 47
- electronic total energy (eV per atom) = -4.512


Record 2
Density functional theory data (PBE-GGA) for a relaxed structure of CsB2H8Pd. Values from VASP.

Structure (Quantum ESPRESSO input):
```
&SYSTEM
  ibrav = 0, nat = 12, ntyp = 4
/
ATOMIC_SPECIES
Cs 132.91 Cs.upf
B 10.81 B.upf
H 1.01 H.upf
Pd 106.42 Pd.upf
CELL_PARAMETERS angstrom
4.913 0.000 0.000
2.456 4.255 0.000
2.456 1.418 6.682
ATOMIC_POSITIONS crystal
Cs 0.500 0.500 0.500
B 0.262 0.262 0.213
B 0.738 0.738 0.787
H 0.201 0.201 0.396
H 0.562 0.146 0.147
H 0.799 0.799 0.604
H 0.146 0.562 0.147
H 0.854 0.438 0.853
H 0.146 0.146 0.147
H 0.854 0.854 0.853
H 0.438 0.854 0.853
Pd 0.000 0.000 0.000
```

- space group = R-3m, No. 166
- electronic total energy (eV per atom) = -3.952